1.
Density functional theory data (PBE) for an optimized crystal structure of Rb2Dy2TeO6.

The density of states at the Fermi level is 0.000 states/eV/f.u.

The space group is C2/m (No. 12) and the conventional cell measures 5.991, 10.345 and 6.957 Å, with angles of 90.00, 106.00 and 90.00 degrees. The distinct sites, in fractional coordinates, are Rb at (0.000, 0.165, 0.000), Dy at (0.000, 0.335, 0.500), Te at (0.000, 0.000, 0.500), O at (0.214, 0.165, 0.667) and O at (0.234, 0.500, 0.667).

---

2.
Density functional theory data (PBE) for an optimized crystal structure of Rb2DyTe3O12.

The density of states at the Fermi level is 11.570 states/eV/f.u.

The space group is R-3m (No. 166, hexagonal axes) and the conventional cell measures 7.4172, 7.4172 and 18.7971 Å, with angles of 90.00, 90.00 and 120.00 degrees. The distinct sites, in fractional coordinates, are Rb at (0.0000, 0.0000, 0.1219), Dy at (0.0000, 0.0000, 0.5000), Te at (0.0000, 0.5000, 0.0000), O at (0.0456, 0.5228, 0.0991) and O at (0.0680, 0.5340, 0.3493).

---

3.
Density functional theory data (PBE) for an optimized crystal structure of Rb2DyTeO6.

The density of states at the Fermi level is 5.913 states/eV/f.u.

The space group is Fm-3m (No. 225) and the conventional cell measures 8.486, 8.486 and 8.486 Å, with angles of 90.00, 90.00 and 90.00 degrees. The distinct sites, in fractional coordinates, are Rb at (0.250, 0.250, 0.250), Dy at (0.000, 0.000, 0.000), Te at (0.000, 0.000, 0.500) and O at (0.000, 0.000, 0.269).

---

4.
Density functional theory data (PBE) for an optimized crystal structure of RbDyTiO4.

The density of states at the Fermi level is 0.000 states/eV/f.u.

The space group is P2_1/m (No. 11) and the conventional cell measures 5.937, 6.039 and 7.764 Å, with angles of 90.00, 108.79 and 90.00 degrees. The distinct sites, in fractional coordinates, are Rb at (0.192, 0.250, 0.434), Dy at (0.313, 0.250, 0.959), Ti at (0.229, 0.750, 0.154), O at (0.010, 0.750, 0.934), O at (0.029, 0.750, 0.290) and O at (0.447, 0.523, 0.164).

---

5.
Density functional theory data (PBE) for an optimized crystal structure of Rb3DyTl2O6.

The space group is C2/m (No. 12) and the conventional cell measures 6.100, 10.570 and 6.853 Å, with angles of 90.00, 107.21 and 90.00 degrees. The distinct sites, in fractional coordinates, are Rb at (0.000, 0.000, 0.000), Rb at (0.000, 0.330, 0.000), Dy at (0.000, 0.500, 0.500), Tl at (0.000, 0.166, 0.500), O at (0.225, 0.336, 0.684) and O at (0.234, 0.000, 0.685).

---

6.
Density functional theory data (PBE) for an optimized crystal structure of RbDyTlO3.

The density of states at the Fermi level is 0.824 states/eV/f.u.

The space group is P2_1/m (No. 11) and the conventional cell measures 7.085, 3.522 and 11.080 Å, with angles of 90.00, 108.09 and 90.00 degrees. The distinct sites, in fractional coordinates, are Rb at (0.002, 0.250, 0.281), Dy at (0.474, 0.750, 0.626), Tl at (0.445, 0.750, 0.102), O at (0.301, 0.250, 0.160), O at (0.323, 0.250, 0.701) and O at (0.346, 0.750, 0.416).

---

Number 1: M_tot 0.00 μB per formula unit, total DFT energy (no corrections) -137.8 eV for the cell shown. Number 2: M_tot 0.83 μB per formula unit, total DFT energy (no corrections) -305.6 eV for the cell shown. Number 3: M_tot 1.02 μB per formula unit, total DFT energy (no corrections) -230.9 eV for the cell shown. Number 4: M_tot 0.00 μB per formula unit, total DFT energy (no corrections) -107.6 eV for the cell shown. Number 5: M_tot 0.00 μB per formula unit, total DFT energy (no corrections) -120.6 eV for the cell shown. Number 6: M_tot 0.00 μB per formula unit, total DFT energy (no corrections) -69.1 eV for the cell shown.